The following is a DFT calculation (PBE) of an optimized crystal structure of CrIn2Mo.

## Properties
As for the total energy: -24.4 eV/f.u. The formation energy from the elements is 0.386 eV per atom. The space-group type is No. 8. The total magnetic moment comes out at 1.22 Bohr magnetons per cell.

Cell: 5.502 5.502 4.690 Å, 65.08 65.08 34.86°
Element x y z (fractional)
Cr1 0.223 0.223 0.276
In1 0.984 0.984 0.017
In2 0.762 0.762 0.737
Mo1 0.530 0.530 0.471

=====

The following is a DFT calculation (PBE) of an optimized crystal structure of ZnTc2Sb.

## Properties
As for the total energy: -25.4 eV/f.u. The formation energy (no corrections) is 0.189 eV/atom. The space-group type is No. 225. The total magnetic moment comes out at 0.00 Bohr magnetons per cell.

Cell: 4.464 4.464 4.464 Å, 60.00 60.00 60.00°
Element x y z (fractional)
Zn1 0.000 0.000 0.000
Tc1 0.250 0.250 0.250
Tc2 0.750 0.750 0.750
Sb1 0.500 0.500 0.500

=====

The following is a DFT calculation (PBE) of an optimized crystal structure of K2SrNbO4.

## Properties
As for the total energy: -51.2 eV/f.u. The formation energy (no corrections) is -2.180 eV/atom. The space-group type is No. 82. The total magnetic moment comes out at 0.98 Bohr magnetons per cell.

Cell: 6.050 6.050 6.050 Å, 93.84 117.81 117.81°
Element x y z (fractional)
O1 0.953 0.584 0.183
O2 0.047 0.230 0.631
O3 0.599 0.369 0.416
O4 0.401 0.817 0.770
K1 0.000 0.000 0.000
K2 0.500 0.750 0.250
Sr1 0.500 0.250 0.750
Nb1 0.000 0.500 0.500

=====

Q: The lowest total magnetic moment belongs to which entry?
A: ZnTc2Sb

=====

Q: total magnetic moment of number 2 (ZnTc2Sb)?
A: 0.00 Bohr magnetons per cell

=====

Q: Which formula does entry 2 have?
A: ZnTc2Sb